Here is YCd3O after structural relaxation from the Alexandria database. Energies are from GGA-PBEsol.

Geometry as POSCAR:
```
YCd3O
1.0
-1.906 5.571 0.815
-3.320 -1.807 4.588
4.548 1.016 3.691
Y O Cd
1 1 3
Cartesian
0.000 0.000 0.000 Y
-0.339 2.390 4.547 O
-1.660 -0.903 2.294 Cd
-0.953 2.786 0.407 Cd
2.274 0.508 1.845 Cd
```

## Properties
M_tot = 0.52 μB/f.u.


Here is Mg2Ta2VO8 after structural relaxation from the Alexandria database. Energies are from GGA-PBEsol.

Geometry as POSCAR:
```
Mg2Ta2VO8
1.0
-1.348 0.310 4.981
5.685 -0.630 1.577
-1.765 9.568 -0.980
Ta O V Mg
4 16 2 4
Cartesian
2.419 7.004 1.625 Ta
0.153 2.244 3.953 Ta
4.673 1.663 2.530 Ta
-2.100 7.585 3.049 Ta
4.026 5.468 1.043 O
1.888 8.029 4.961 O
2.225 5.748 3.221 O
0.347 3.500 2.357 O
1.106 8.256 2.079 O
-1.800 8.357 1.260 O
3.552 0.681 1.401 O
-0.979 8.567 4.178 O
4.372 0.891 4.318 O
1.467 0.992 3.500 O
1.330 5.675 0.695 O
-0.986 6.012 2.730 O
1.243 3.573 4.884 O
-1.454 3.780 4.535 O
3.558 3.236 2.849 O
0.684 1.219 0.617 O
1.715 -0.150 1.815 V
2.622 -0.170 4.744 V
0.393 5.200 3.882 Mg
2.179 4.048 1.696 Mg
-0.575 5.227 0.936 Mg
3.148 4.021 4.643 Mg
```

## Properties
M_tot = 3.03 μB/f.u.


Here is AlPd2Br after structural relaxation from the Alexandria database. Energies are from GGA-PBEsol.

Geometry as POSCAR:
```
AlPd2Br
1.0
-2.323 -3.455 -0.231
0.912 -0.343 -4.054
7.397 -2.727 4.039
Br Al Pd
2 2 4
Cartesian
3.802 -2.484 -1.078 Br
0.000 0.000 0.000 Br
-0.705 -1.899 -2.142 Al
2.185 -4.040 0.833 Al
0.205 -3.765 -0.708 Pd
4.648 -4.412 0.432 Pd
1.731 -2.345 -2.628 Pd
5.389 -2.526 2.414 Pd
```

## Properties
M_tot = 0.00 μB/f.u.


no.,ΔE_f (raw) (meV/atom),VASP energy (eV/atom)
1,1221,-1.912
2,-2655,-8.821
3,-67,-4.537